Entry 1:
An optimized crystal structure of TbBe2SiRu, computed with PBE.

```
5
Lattice="-1.871 1.926 5.139 1.871 -1.926 5.139 1.871 1.926 -5.139" Properties=species:S:1:pos:R:3 pbc="T T T"
Tb 0.000 0.000 0.000
Be 0.000 0.000 6.343
Be 0.000 1.926 2.555
Si 0.000 0.000 3.905
Ru 1.871 0.000 2.447
```

Values from the calculation:
- space group = Imm2
- raw total energy (eV/atom) = -5.76
- energy relative to the elements, uncorrected (kJ per mole of atoms) = -38.8
- crystal system = orthorhombic
- calculated volume (Å³ per atom) = 14.8



Entry 2:
An optimized crystal structure of Th2Be4Si3Ru, computed with PBE.

```
10
Lattice="3.960 0.000 0.000 0.000 3.960 0.000 0.000 0.000 9.800" Properties=species:S:1:pos:R:3 pbc="T T T"
Th 0.000 1.980 2.435
Th 1.980 0.000 7.366
Be 0.000 0.000 0.000
Be 0.000 1.980 6.136
Be 1.980 0.000 3.665
Be 1.980 1.980 0.000
Si 0.000 1.980 8.549
Si 1.980 0.000 1.251
Si 1.980 1.980 4.900
Ru 0.000 0.000 4.900
```

Values from the calculation:
- space group = P-4m2
- raw total energy (eV/atom) = -5.97
- energy relative to the elements, uncorrected (kJ per mole of atoms) = -42.2
- crystal system = tetragonal
- calculated volume (Å³ per atom) = 15.4



Entry 3:
An optimized crystal structure of Tm2BeSi2Ru5, computed with PBE.

```
20
Lattice="9.757 0.000 0.000 0.000 9.757 0.000 0.000 0.000 3.197" Properties=species:S:1:pos:R:3 pbc="T T T"
Tm 1.666 3.212 0.000
Tm 3.212 8.091 0.000
Tm 6.545 1.666 0.000
Tm 8.091 6.545 0.000
Be 0.000 0.000 0.000
Be 4.878 4.878 0.000
Si 1.286 6.165 0.000
Si 3.592 1.286 0.000
Si 6.165 8.471 0.000
Si 8.471 3.592 0.000
Ru 0.000 4.878 1.599
Ru 0.618 7.839 1.599
Ru 1.918 0.618 1.599
Ru 2.960 5.497 1.599
Ru 4.260 2.960 1.599
Ru 4.878 0.000 1.599
Ru 5.497 6.797 1.599
Ru 6.797 4.260 1.599
Ru 7.839 9.139 1.599
Ru 9.139 1.918 1.599
```

Values from the calculation:
- space group = P4/mbm
- raw total energy (eV/atom) = -7.53
- energy relative to the elements, uncorrected (kJ per mole of atoms) = -51.7
- crystal system = tetragonal
- calculated volume (Å³ per atom) = 15.2



Which value of energy relative to the elements, uncorrected does entry 3 give?
-51.7 kJ per mole of atoms



What is the formula in the first record?
TbBe2SiRu



Which of these has the highest raw total energy?
TbBe2SiRu



Copy entry 3 word for word.
An optimized crystal structure of Tm2BeSi2Ru5, computed with PBE.

```
20
Lattice="9.757 0.000 0.000 0.000 9.757 0.000 0.000 0.000 3.197" Properties=species:S:1:pos:R:3 pbc="T T T"
Tm 1.666 3.212 0.000
Tm 3.212 8.091 0.000
Tm 6.545 1.666 0.000
Tm 8.091 6.545 0.000
Be 0.000 0.000 0.000
Be 4.878 4.878 0.000
Si 1.286 6.165 0.000
Si 3.592 1.286 0.000
Si 6.165 8.471 0.000
Si 8.471 3.592 0.000
Ru 0.000 4.878 1.599
Ru 0.618 7.839 1.599
Ru 1.918 0.618 1.599
Ru 2.960 5.497 1.599
Ru 4.260 2.960 1.599
Ru 4.878 0.000 1.599
Ru 5.497 6.797 1.599
Ru 6.797 4.260 1.599
Ru 7.839 9.139 1.599
Ru 9.139 1.918 1.599
```

Values from the calculation:
- space group = P4/mbm
- raw total energy (eV/atom) = -7.53
- energy relative to the elements, uncorrected (kJ per mole of atoms) = -51.7
- crystal system = tetragonal
- calculated volume (Å³ per atom) = 15.2